Entry 1:
Here is a relaxed structure of PmPuAg4 from Alexandria. Energies are from PBE.

Volume, A^3/atom: 22.34
Formation enthalpy at 0 K, eV per atom: -0.046
E, eV for the cell shown: -30.8

Cell lengths 5.7448, 5.7448, 5.7448 Å; angles 60.00, 60.00, 60.00 degrees
Element x y z (fractional)
Pm1 0.0000 0.0000 0.0000
Pu1 0.2500 0.2500 0.2500
Ag1 0.1252 0.6249 0.6249
Ag2 0.6249 0.1252 0.6249
Ag3 0.6249 0.6249 0.1252
Ag4 0.6249 0.6249 0.6249



Entry 2:
Here is a relaxed structure of PmPuAgRh from Alexandria. Energies are from PBE.

Volume, A^3/atom: 22.96
Formation enthalpy at 0 K, eV per atom: -0.272
E, eV for the cell shown: -30.4

Cell lengths 5.0641, 5.0641, 5.0641 Å; angles 60.00, 60.00, 60.00 degrees
Element x y z (fractional)
Pm1 0.0000 0.0000 0.0000
Pu1 0.5000 0.5000 0.5000
Ag1 0.2500 0.2500 0.2500
Rh1 0.7500 0.7500 0.7500



Entry 3:
Here is a relaxed structure of PmPuAgRu from Alexandria. Energies are from PBE.

Volume, A^3/atom: 22.50
Formation enthalpy at 0 K, eV per atom: -0.048
E, eV for the cell shown: -31.4

Cell lengths 5.0303, 5.0303, 5.0303 Å; angles 60.00, 60.00, 60.00 degrees
Element x y z (fractional)
Pm1 0.0000 0.0000 0.0000
Pu1 0.5000 0.5000 0.5000
Ag1 0.2500 0.2500 0.2500
Ru1 0.7500 0.7500 0.7500



Entry 4:
Here is a relaxed structure of PmPuSiAg from Alexandria. Energies are from PBE.

Raw formation energy, eV per formula unit: -0.99
Volume, A^3/atom: 23.97
E, eV for the cell shown: -28.3

Cell lengths 5.1372, 5.1372, 5.1372 Å; angles 60.00, 60.00, 60.00 degrees
Element x y z (fractional)
Pm1 0.0000 0.0000 0.0000
Pu1 0.5000 0.5000 0.5000
Si1 0.7500 0.7500 0.7500
Ag1 0.2500 0.2500 0.2500



Entry 5:
Here is a relaxed structure of PmPuAgSn from Alexandria. Energies are from PBE.

Volume, A^3/atom: 26.85
Formation enthalpy at 0 K, eV per atom: -0.318
E, eV for the cell shown: -27.2

Cell lengths 5.3354, 5.3354, 5.3354 Å; angles 60.00, 60.00, 60.00 degrees
Element x y z (fractional)
Pm1 0.0000 0.0000 0.0000
Pu1 0.5000 0.5000 0.5000
Ag1 0.2500 0.2500 0.2500
Sn1 0.7500 0.7500 0.7500



Entry 6:
Here is a relaxed structure of PmPuAg2Te4 from Alexandria. Energies are from PBE.

Raw formation energy, eV per formula unit: -4.86
Volume, A^3/atom: 30.73
E, eV for the cell shown: -42.2

Cell lengths 6.8467, 6.8467, 6.8467 Å; angles 112.15, 111.55, 104.82 degrees
Element x y z (fractional)
Pm1 0.0000 0.0000 0.0000
Pu1 0.5000 0.5000 0.0000
Ag1 0.1690 0.6690 0.5000
Ag2 0.8310 0.3310 0.5000
Te1 0.0510 0.0456 0.4896
Te2 0.4439 0.9544 0.0054
Te3 0.5561 0.5615 0.5104
Te4 0.9490 0.4385 0.9946



> What is the formula in the sixth record?

PmPuAg2Te4